A geometry-optimized Ho6AgS8 structure, computed with PBE-GGA.

Calculated values
- Final energy: -90.80 eV per cell
- Theoretical density: 6.85 g/cm3
- Formation energy from raw total energies: -1.831 eV per atom

Geometry as extended XYZ:
```
15
Lattice="0.000 5.476 5.476 5.476 0.000 5.476 5.476 5.476 0.000" Properties=species:S:1:pos:R:3 pbc="T T T"
Ho 2.738 2.738 0.000
Ho 2.738 0.000 2.738
Ho 5.476 2.738 2.738
Ho 0.000 2.738 2.738
Ho 2.738 5.476 2.738
Ho 2.738 2.738 5.476
Ag 0.000 0.000 0.000
S 2.738 2.738 2.738
S 5.476 5.476 2.797
S 5.476 2.797 5.476
S 8.155 5.476 5.476
S 2.797 5.476 5.476
S 5.476 8.155 5.476
S 5.476 5.476 8.155
S 8.214 8.214 8.214
```